[1]
# SmBr2F (PBE-GGA, optimized geometry)
data_SmBr2F
_space_group_name_H-M_alt 'C 1 m 1'
_space_group_IT_number 8
_cell_length_a 7.094
_cell_length_b 4.095
_cell_length_c 7.959
_cell_angle_alpha 90.00
_cell_angle_beta 106.56
_cell_angle_gamma 90.00
loop_
_space_group_symop_operation_xyz
'x,y,z'
'x,-y,z'
'x+1/2,y+1/2,z'
'x+1/2,-y+1/2,z'
loop_
_atom_site_label
_atom_site_type_symbol
_atom_site_fract_x
_atom_site_fract_y
_atom_site_fract_z
Sm1 Sm 0.000 0.000 0.000
Br1 Br 0.252 0.000 0.744
Br2 Br 0.415 0.000 0.256
F1 F 0.167 0.500 0.000
# Calculated volume   27.70 Å³/atom
# Total magnetization   0.00 Bohr magnetons per cell
# ΔE_f (raw)   -10.55 eV/f.u.
# N(E_F)   0.0 states/eV per cell

---

[2]
# SmBrF2 (PBE-GGA, optimized geometry)
data_SmBrF2
_space_group_name_H-M_alt 'C m c m'
_space_group_IT_number 63
_space_group_name_Hall '-C 2c 2'
_cell_length_a 3.891
_cell_length_b 10.783
_cell_length_c 7.127
_cell_angle_alpha 90.00
_cell_angle_beta 90.00
_cell_angle_gamma 90.00
loop_
_atom_site_label
_atom_site_type_symbol
_atom_site_fract_x
_atom_site_fract_y
_atom_site_fract_z
Sm1 Sm 0.000 0.240 0.250
Br1 Br 0.000 0.044 0.750
F1 F 0.000 0.312 0.570
# Calculated volume   18.69 Å³/atom
# Total magnetization   0.00 Bohr magnetons per cell
# ΔE_f (raw)   -13.39 eV/f.u.
# N(E_F)   0.0 states/eV per cell

---

[3]
# Sm2Br2F (PBE-GGA, optimized geometry)
data_Sm2Br2F
_space_group_name_H-M_alt 'P 4/m m m'
_space_group_IT_number 123
_space_group_name_Hall '-P 4 2'
_cell_length_a 3.919
_cell_length_b 3.919
_cell_length_c 14.058
_cell_angle_alpha 90.00
_cell_angle_beta 90.00
_cell_angle_gamma 90.00
loop_
_atom_site_label
_atom_site_type_symbol
_atom_site_fract_x
_atom_site_fract_y
_atom_site_fract_z
Sm1 Sm 0.000 0.000 0.162
Br1 Br 0.000 0.000 0.348
F1 F 0.000 0.000 0.000
# Calculated volume   43.19 Å³/atom
# Total magnetization   0.00 Bohr magnetons per cell
# ΔE_f (raw)   -6.75 eV/f.u.
# N(E_F)   3.9 states/eV per cell

---

[4]
# SmBrF (PBE-GGA, optimized geometry)
data_SmBrF
_space_group_name_H-M_alt 'C 1 2/m 1'
_space_group_IT_number 12
_cell_length_a 11.160
_cell_length_b 3.931
_cell_length_c 6.549
_cell_angle_alpha 90.00
_cell_angle_beta 101.66
_cell_angle_gamma 90.00
loop_
_space_group_symop_operation_xyz
'x,y,z'
'-x,-y,-z'
'-x,y,-z'
'x,-y,z'
'x+1/2,y+1/2,z'
'-x+1/2,-y+1/2,-z'
'-x+1/2,y+1/2,-z'
'x+1/2,-y+1/2,z'
loop_
_atom_site_label
_atom_site_type_symbol
_atom_site_fract_x
_atom_site_fract_y
_atom_site_fract_z
Sm1 Sm 0.226 0.000 0.229
Br1 Br 0.071 0.000 0.785
F1 F 0.177 0.500 0.403
# Calculated volume   23.45 Å³/atom
# Total magnetization   4.00 Bohr magnetons per cell
# ΔE_f (raw)   -7.46 eV/f.u.

---

[5]
# Sm2BrF (PBE-GGA, optimized geometry)
data_Sm2BrF
_space_group_name_H-M_alt 'R -3 m'
_space_group_IT_number 166
_space_group_name_Hall '-R 3 2"'
_cell_length_a 3.7129
_cell_length_b 3.7129
_cell_length_c 27.7421
_cell_angle_alpha 90.00
_cell_angle_beta 90.00
_cell_angle_gamma 120.00
loop_
_atom_site_label
_atom_site_type_symbol
_atom_site_fract_x
_atom_site_fract_y
_atom_site_fract_z
Sm1 Sm 0.0000 0.0000 0.0799
Br1 Br 0.0000 0.0000 0.5000
F1 F 0.0000 0.0000 0.0000
# Calculated volume   27.60 Å³/atom
# Total magnetization   0.00 Bohr magnetons per cell
# ΔE_f (raw)   -6.85 eV/f.u.
# N(E_F)   5.1 states/eV per cell

---

[6]
# Sn2BrF2 (PBE-GGA, optimized geometry)
data_Sn2BrF2
_space_group_name_H-M_alt 'C 1 2/m 1'
_space_group_IT_number 12
_cell_length_a 9.258
_cell_length_b 4.433
_cell_length_c 5.798
_cell_angle_alpha 90.00
_cell_angle_beta 105.97
_cell_angle_gamma 90.00
loop_
_space_group_symop_operation_xyz
'x,y,z'
'-x,-y,-z'
'-x,y,-z'
'x,-y,z'
'x+1/2,y+1/2,z'
'-x+1/2,-y+1/2,-z'
'-x+1/2,y+1/2,-z'
'x+1/2,-y+1/2,z'
loop_
_atom_site_label
_atom_site_type_symbol
_atom_site_fract_x
_atom_site_fract_y
_atom_site_fract_z
Sn1 Sn 0.162 0.000 0.204
Br1 Br 0.000 0.500 0.500
F1 F 0.215 0.500 0.091
# Calculated volume   22.88 Å³/atom
# Total magnetization   0.00 Bohr magnetons per cell
# ΔE_f (raw)   -7.31 eV/f.u.
# N(E_F)   2.2 states/eV per cell

---

[7]
# Sn2Br3F (PBE-GGA, optimized geometry)
data_Sn2Br3F
_space_group_name_H-M_alt 'C 1 2/m 1'
_space_group_IT_number 12
_cell_length_a 16.142
_cell_length_b 4.733
_cell_length_c 11.533
_cell_angle_alpha 90.00
_cell_angle_beta 113.02
_cell_angle_gamma 90.00
loop_
_space_group_symop_operation_xyz
'x,y,z'
'-x,-y,-z'
'-x,y,-z'
'x,-y,z'
'x+1/2,y+1/2,z'
'-x+1/2,-y+1/2,-z'
'-x+1/2,y+1/2,-z'
'x+1/2,-y+1/2,z'
loop_
_atom_site_label
_atom_site_type_symbol
_atom_site_fract_x
_atom_site_fract_y
_atom_site_fract_z
Sn1 Sn 0.101 0.000 0.456
Sn2 Sn 0.138 0.500 0.831
Br1 Br 0.050 0.500 0.257
Br2 Br 0.144 0.000 0.983
Br3 Br 0.208 0.500 0.619
F1 F 0.054 0.000 0.619
# Calculated volume   33.79 Å³/atom
# Total magnetization   0.00 Bohr magnetons per cell
# ΔE_f (raw)   -6.60 eV/f.u.
# N(E_F)   0.0 states/eV per cell

---

[8]
# Sn4Br3F4 (PBE-GGA, optimized geometry)
data_Sn4Br3F4
_space_group_name_H-M_alt 'I m m m'
_space_group_IT_number 71
_space_group_name_Hall '-I 2 2'
_cell_length_a 5.619
_cell_length_b 6.378
_cell_length_c 16.518
_cell_angle_alpha 90.00
_cell_angle_beta 90.00
_cell_angle_gamma 90.00
loop_
_atom_site_label
_atom_site_type_symbol
_atom_site_fract_x
_atom_site_fract_y
_atom_site_fract_z
Sn1 Sn 0.000 0.000 0.232
Sn2 Sn 0.000 0.257 0.000
Br1 Br 0.000 0.000 0.500
Br2 Br 0.000 0.500 0.322
F1 F 0.000 0.235 0.137
# Calculated volume   26.91 Å³/atom
# Total magnetization   0.00 Bohr magnetons per cell
# ΔE_f (raw)   -15.85 eV/f.u.
# N(E_F)   2.7 states/eV per cell

---

[9]
# Sn4Br5F2 (PBE-GGA, optimized geometry)
data_Sn4Br5F2
_space_group_name_H-M_alt 'I m m m'
_space_group_IT_number 71
_space_group_name_Hall '-I 2 2'
_cell_length_a 4.362
_cell_length_b 7.709
_cell_length_c 19.630
_cell_angle_alpha 90.00
_cell_angle_beta 90.00
_cell_angle_gamma 90.00
loop_
_atom_site_label
_atom_site_type_symbol
_atom_site_fract_x
_atom_site_fract_y
_atom_site_fract_z
Sn1 Sn 0.000 0.000 0.178
Sn2 Sn 0.000 0.291 0.500
Br1 Br 0.000 0.240 0.347
Br2 Br 0.000 0.500 0.000
F1 F 0.000 0.000 0.070
# Calculated volume   30.00 Å³/atom
# Total magnetization   0.00 Bohr magnetons per cell
# ΔE_f (raw)   -11.39 eV/f.u.
# N(E_F)   6.3 states/eV per cell

---

[10]
# Sn2BrF3 (PBE-GGA, optimized geometry)
data_Sn2BrF3
_space_group_name_H-M_alt 'C 1 2/m 1'
_space_group_IT_number 12
_cell_length_a 15.942
_cell_length_b 4.102
_cell_length_c 8.759
_cell_angle_alpha 90.00
_cell_angle_beta 117.30
_cell_angle_gamma 90.00
loop_
_space_group_symop_operation_xyz
'x,y,z'
'-x,-y,-z'
'-x,y,-z'
'x,-y,z'
'x+1/2,y+1/2,z'
'-x+1/2,-y+1/2,-z'
'-x+1/2,y+1/2,-z'
'x+1/2,-y+1/2,z'
loop_
_atom_site_label
_atom_site_type_symbol
_atom_site_fract_x
_atom_site_fract_y
_atom_site_fract_z
Sn1 Sn 0.008 0.000 0.295
Sn2 Sn 0.189 0.500 0.122
Br1 Br 0.139 0.500 0.531
F1 F 0.057 0.500 0.881
F2 F 0.096 0.000 0.175
F3 F 0.196 0.000 0.988
# Calculated volume   21.20 Å³/atom
# Total magnetization   0.00 Bohr magnetons per cell
# ΔE_f (raw)   -11.38 eV/f.u.
# N(E_F)   0.0 states/eV per cell

---

[11]
# Sn2Br2F (PBE-GGA, optimized geometry)
data_Sn2Br2F
_space_group_name_H-M_alt 'P 4/m b m'
_space_group_IT_number 127
_space_group_name_Hall '-P 4 2ab'
_cell_length_a 7.152
_cell_length_b 7.152
_cell_length_c 4.999
_cell_angle_alpha 90.00
_cell_angle_beta 90.00
_cell_angle_gamma 90.00
loop_
_atom_site_label
_atom_site_type_symbol
_atom_site_fract_x
_atom_site_fract_y
_atom_site_fract_z
Sn1 Sn 0.180 0.320 0.000
Br1 Br 0.175 0.675 0.500
F1 F 0.000 0.000 0.000
# Calculated volume   25.57 Å³/atom
# Total magnetization   0.00 Bohr magnetons per cell
# ΔE_f (raw)   -4.51 eV/f.u.
# ΔE to the lowest computed polymorph   0.101 eV/atom
# N(E_F)   2.6 states/eV per cell

---

[12]
# Sn3BrF (PBE-GGA, optimized geometry)
data_Sn3BrF
_space_group_name_H-M_alt 'P m -3 m'
_space_group_IT_number 221
_space_group_name_Hall '-P 4 2 3'
_cell_length_a 5.640
_cell_length_b 5.640
_cell_length_c 5.640
_cell_angle_alpha 90.00
_cell_angle_beta 90.00
_cell_angle_gamma 90.00
loop_
_atom_site_label
_atom_site_type_symbol
_atom_site_fract_x
_atom_site_fract_y
_atom_site_fract_z
Sn1 Sn 0.000 0.000 0.500
Br1 Br 0.000 0.000 0.000
F1 F 0.500 0.500 0.500
# Calculated volume   35.88 Å³/atom
# Total magnetization   0.00 Bohr magnetons per cell
# ΔE_f (raw)   1.81 eV/f.u.
# ΔE to the lowest computed polymorph   0.564 eV/atom
# N(E_F)   4.3 states/eV per cell

---

[13]
# Sn2Br2F (PBE-GGA, optimized geometry)
data_Sn2Br2F
_space_group_name_H-M_alt 'C 1 2/m 1'
_space_group_IT_number 12
_cell_length_a 15.043
_cell_length_b 5.816
_cell_length_c 10.786
_cell_angle_alpha 90.00
_cell_angle_beta 131.22
_cell_angle_gamma 90.00
loop_
_space_group_symop_operation_xyz
'x,y,z'
'-x,-y,-z'
'-x,y,-z'
'x,-y,z'
'x+1/2,y+1/2,z'
'-x+1/2,-y+1/2,-z'
'-x+1/2,y+1/2,-z'
'x+1/2,-y+1/2,z'
loop_
_atom_site_label
_atom_site_type_symbol
_atom_site_fract_x
_atom_site_fract_y
_atom_site_fract_z
Sn1 Sn 0.073 0.000 0.448
Sn2 Sn 0.143 0.000 0.211
Br1 Br 0.084 0.500 0.422
Br2 Br 0.224 0.500 0.214
F1 F 0.051 0.000 0.940
# Calculated volume   35.49 Å³/atom
# Total magnetization   0.00 Bohr magnetons per cell
# ΔE_f (raw)   -5.01 eV/f.u.
# ΔE to the lowest computed polymorph   0.000 eV/atom

---

[14]
# Sn3BrF (PBE-GGA, optimized geometry)
data_Sn3BrF
_space_group_name_H-M_alt 'P m -3 m'
_space_group_IT_number 221
_space_group_name_Hall '-P 4 2 3'
_cell_length_a 5.173
_cell_length_b 5.173
_cell_length_c 5.173
_cell_angle_alpha 90.00
_cell_angle_beta 90.00
_cell_angle_gamma 90.00
loop_
_atom_site_label
_atom_site_type_symbol
_atom_site_fract_x
_atom_site_fract_y
_atom_site_fract_z
Sn1 Sn 0.000 0.000 0.500
Br1 Br 0.500 0.500 0.500
F1 F 0.000 0.000 0.000
# Calculated volume   27.68 Å³/atom
# Total magnetization   1.47 Bohr magnetons per cell
# ΔE_f (raw)   -1.01 eV/f.u.
# ΔE to the lowest computed polymorph   0.000 eV/atom
# N(E_F)   6.1 states/eV per cell

---

[15]
# SnBrF3 (PBE-GGA, optimized geometry)
data_SnBrF3
_space_group_name_H-M_alt 'P m -3 m'
_space_group_IT_number 221
_space_group_name_Hall '-P 4 2 3'
_cell_length_a 4.626
_cell_length_b 4.626
_cell_length_c 4.626
_cell_angle_alpha 90.00
_cell_angle_beta 90.00
_cell_angle_gamma 90.00
loop_
_atom_site_label
_atom_site_type_symbol
_atom_site_fract_x
_atom_site_fract_y
_atom_site_fract_z
Sn1 Sn 0.000 0.000 0.000
Br1 Br 0.500 0.500 0.500
F1 F 0.000 0.500 0.500
# Calculated volume   19.80 Å³/atom
# Total magnetization   0.00 Bohr magnetons per cell
# ΔE_f (raw)   -2.99 eV/f.u.
# ΔE to the lowest computed polymorph   1.222 eV/atom
# N(E_F)   1.7 states/eV per cell

---

[16]
# SnBrF3 (PBE-GGA, optimized geometry)
data_SnBrF3
_space_group_name_H-M_alt 'R 3 m'
_space_group_IT_number 160
_space_group_name_Hall 'R 3 -2"'
_cell_length_a 7.2683
_cell_length_b 7.2683
_cell_length_c 8.2143
_cell_angle_alpha 90.00
_cell_angle_beta 90.00
_cell_angle_gamma 120.00
loop_
_atom_site_label
_atom_site_type_symbol
_atom_site_fract_x
_atom_site_fract_y
_atom_site_fract_z
Sn1 Sn 0.0000 0.0000 0.0000
Br1 Br 0.0000 0.0000 0.7046
F1 F 0.0533 0.5266 0.7619
# Calculated volume   25.05 Å³/atom
# Total magnetization   0.15 Bohr magnetons per cell
# ΔE_f (raw)   -9.10 eV/f.u.
# ΔE to the lowest computed polymorph   0.000 eV/atom
# N(E_F)   0.0 states/eV per cell

---

[17]
# TlSnBr2F (PBE-GGA, optimized geometry)
data_TlSnBr2F
_space_group_name_H-M_alt 'P 1 21/m 1'
_space_group_IT_number 11
_cell_length_a 8.270
_cell_length_b 4.353
_cell_length_c 9.059
_cell_angle_alpha 90.00
_cell_angle_beta 108.73
_cell_angle_gamma 90.00
loop_
_space_group_symop_operation_xyz
'x,y,z'
'-x,-y,-z'
'-x,y+1/2,-z'
'x,-y+1/2,z'
loop_
_atom_site_label
_atom_site_type_symbol
_atom_site_fract_x
_atom_site_fract_y
_atom_site_fract_z
Tl1 Tl 0.181 0.250 0.387
Sn1 Sn 0.348 0.750 0.824
Br1 Br 0.124 0.250 0.866
Br2 Br 0.461 0.750 0.289
F1 F 0.186 0.750 0.593
# Calculated volume   30.89 Å³/atom
# Total magnetization   0.00 Bohr magnetons per cell
# ΔE_f (raw)   -6.25 eV/f.u.
# ΔE to the lowest computed polymorph   0.000 eV/atom
# N(E_F)   0.0 states/eV per cell

---

[18]
# TlSnBr2F (PBE-GGA, optimized geometry)
data_TlSnBr2F
_space_group_name_H-M_alt 'P 4/m m m'
_space_group_IT_number 123
_space_group_name_Hall '-P 4 2'
_cell_length_a 5.970
_cell_length_b 5.970
_cell_length_c 4.557
_cell_angle_alpha 90.00
_cell_angle_beta 90.00
_cell_angle_gamma 90.00
loop_
_atom_site_label
_atom_site_type_symbol
_atom_site_fract_x
_atom_site_fract_y
_atom_site_fract_z
Tl1 Tl 0.000 0.000 0.000
Sn1 Sn 0.500 0.500 0.500
Br1 Br 0.000 0.500 0.500
F1 F 0.500 0.500 0.000
# Calculated volume   32.48 Å³/atom
# Total magnetization   0.00 Bohr magnetons per cell
# ΔE_f (raw)   -6.02 eV/f.u.
# ΔE to the lowest computed polymorph   0.046 eV/atom

---

[19]
# SrBrF (PBE-GGA, optimized geometry)
data_SrBrF
_space_group_name_H-M_alt 'C 1 2/m 1'
_space_group_IT_number 12
_cell_length_a 10.816
_cell_length_b 4.306
_cell_length_c 7.566
_cell_angle_alpha 90.00
_cell_angle_beta 107.39
_cell_angle_gamma 90.00
loop_
_space_group_symop_operation_xyz
'x,y,z'
'-x,-y,-z'
'-x,y,-z'
'x,-y,z'
'x+1/2,y+1/2,z'
'-x+1/2,-y+1/2,-z'
'-x+1/2,y+1/2,-z'
'x+1/2,-y+1/2,z'
loop_
_atom_site_label
_atom_site_type_symbol
_atom_site_fract_x
_atom_site_fract_y
_atom_site_fract_z
Sr1 Sr 0.203 0.000 0.273
Br1 Br 0.106 0.000 0.833
F1 F 0.173 0.500 0.399
# Calculated volume   28.02 Å³/atom
# Total magnetization   0.00 Bohr magnetons per cell
# ΔE_f (raw)   -9.05 eV/f.u.
# ΔE to the lowest computed polymorph   0.050 eV/atom
# N(E_F)   0.0 states/eV per cell

---

[20]
# Sr2Br2F (PBE-GGA, optimized geometry)
data_Sr2Br2F
_space_group_name_H-M_alt 'P 4/m b m'
_space_group_IT_number 127
_space_group_name_Hall '-P 4 2ab'
_cell_length_a 7.536
_cell_length_b 7.536
_cell_length_c 5.022
_cell_angle_alpha 90.00
_cell_angle_beta 90.00
_cell_angle_gamma 90.00
loop_
_atom_site_label
_atom_site_type_symbol
_atom_site_fract_x
_atom_site_fract_y
_atom_site_fract_z
Sr1 Sr 0.183 0.317 0.000
Br1 Br 0.157 0.657 0.500
F1 F 0.000 0.000 0.000
# Calculated volume   28.52 Å³/atom
# Total magnetization   0.00 Bohr magnetons per cell
# ΔE_f (raw)   -10.84 eV/f.u.
# ΔE to the lowest computed polymorph   0.000 eV/atom
# N(E_F)   3.2 states/eV per cell